(1)
Crystalline SrZrP2 at its relaxed geometry, computed with GGA-PBE.

Cell: 7.576 7.576 7.576 Å, 153.01 151.55 39.62°
Element x y z (fractional)
Sr: 0.000 0.000 0.000
Zr: 0.253 0.753 0.500
P: 0.388 0.388 0.000
P: 0.682 0.182 0.500

Output
The energy relative to the lowest polymorph listed for this composition is 254 meV/atom. For the total energy, the calculation gives -24.87 eV/f.u. The formation energy is -954 meV/atom. Its density of states at the Fermi level is 0.199 states/eV/atom. The space group is Imm2, No. 44.

(2)
Crystalline SrZr2P at its relaxed geometry, computed with GGA-PBE.

Cell: 10.231 10.231 10.231 Å, 151.32 151.32 41.01°
Element x y z (fractional)
Sr: 0.375 0.625 0.750
Sr: 0.625 0.375 0.250
Zr: 0.000 0.000 0.000
Zr: 0.000 0.000 0.500
Zr: 0.000 0.500 0.000
Zr: 0.500 0.000 0.500
P: 0.125 0.875 0.250
P: 0.875 0.125 0.750

Output
For the total energy, the calculation gives -23.78 eV/f.u. The formation energy is 103 meV/atom. Its density of states at the Fermi level is 0.984 states/eV/atom. The space group is I4_1/amd, No. 141.

(3)
Crystalline SrZrP2 at its relaxed geometry, computed with GGA-PBE.

Cell: 5.195 5.195 5.195 Å, 133.02 111.51 87.20°
Element x y z (fractional)
Sr: 0.000 0.000 0.000
Zr: 0.500 0.500 0.000
P: 0.276 0.776 0.500
P: 0.724 0.224 0.500

Output
The energy relative to the lowest polymorph listed for this composition is 546 meV/atom. For the total energy, the calculation gives -23.70 eV/f.u. The formation energy is -662 meV/atom. Its density of states at the Fermi level is 0.354 states/eV/atom. The space group is Immm, No. 71.

(4)
Crystalline SrZrP at its relaxed geometry, computed with GGA-PBE.

Cell: 4.779 4.779 4.779 Å, 60.00 60.00 60.00°
Element x y z (fractional)
Sr: 0.000 0.000 0.000
Zr: 0.500 0.500 0.500
P: 0.250 0.250 0.250

Output
The energy relative to the lowest polymorph listed for this composition is 330 meV/atom. For the total energy, the calculation gives -16.48 eV/f.u. The formation energy is -279 meV/atom. Its density of states at the Fermi level is 1.111 states/eV/atom. The space group is F-43m, No. 216.

(5)
Crystalline SrZr2P at its relaxed geometry, computed with GGA-PBE.

Cell: 9.432 9.432 9.432 Å, 22.56 22.56 22.56°
Element x y z (fractional)
Sr: 0.000 0.000 0.000
Zr: 0.218 0.218 0.218
Zr: 0.782 0.782 0.782
P: 0.500 0.500 0.500

Output
For the total energy, the calculation gives -25.97 eV/f.u. The formation energy is -445 meV/atom. Its density of states at the Fermi level is 1.130 states/eV/atom. The space group is R-3m, No. 166.

(6)
Crystalline SrZrP2 at its relaxed geometry, computed with GGA-PBE.

Cell: 7.439 7.439 7.439 Å, 30.43 30.43 30.43°
Element x y z (fractional)
Sr: 0.000 0.000 0.000
Zr: 0.171 0.171 0.171
P: 0.573 0.573 0.573
P: 0.767 0.767 0.767

Output
The energy relative to the lowest polymorph listed for this composition is 75 meV/atom. For the total energy, the calculation gives -25.58 eV/f.u. The formation energy is -1133 meV/atom. Its density of states at the Fermi level is 0.183 states/eV/atom. The space group is R3m, No. 160.

(7)
Crystalline SrZrP at its relaxed geometry, computed with GGA-PBE.

Cell: 5.003 5.003 5.003 Å, 60.00 60.00 60.00°
Element x y z (fractional)
Sr: 0.000 0.000 0.000
Zr: 0.750 0.750 0.750
P: 0.250 0.250 0.250

Output
The energy relative to the lowest polymorph listed for this composition is 1483 meV/atom. For the total energy, the calculation gives -13.02 eV/f.u. The formation energy is 874 meV/atom. Its density of states at the Fermi level is 1.962 states/eV/atom. The space group is F-43m, No. 216.

(8)
Crystalline Sr2ZrP at its relaxed geometry, computed with GGA-PBE.

Cell: 4.106 6.733 6.733 Å, 44.22 90.00 90.00°
Element x y z (fractional)
Sr: 0.000 0.000 0.000
Sr: 0.500 0.305 0.305
Zr: 0.000 0.694 0.694
P: 0.500 0.571 0.571

Output
For the total energy, the calculation gives -18.58 eV/f.u. The formation energy is -313 meV/atom. Its density of states at the Fermi level is 0.828 states/eV/atom. The space group is Amm2, No. 38.